Record 1
The following is a DFT calculation (PBE) of a relaxed GaBO3 crystal.

The space group is R-3c (No. 167, hexagonal axes) and the conventional cell measures 4.6286, 4.6286 and 14.4098 Å, with angles of 90.00, 90.00 and 120.00 degrees. Symmetry generates all atoms from Ga at (0.0000, 0.0000, 0.0000), B at (0.0000, 0.0000, 0.2500) and O at (0.0000, 0.2995, 0.2500).

For the energy relative to the elements, uncorrected, the calculation gives -2.1106 eV/atom. As for the total magnetization: 0.0 μB/f.u. Its final energy is -210.8 eV/cell.


Record 2
The following is a DFT calculation (PBE) of a relaxed GaBO3 crystal.

The space group is Pm-3m (No. 221) and the conventional cell measures 3.766, 3.766 and 3.766 Å, with angles of 90.00, 90.00 and 90.00 degrees. Symmetry generates all atoms from Ga at (0.000, 0.000, 0.000), B at (0.500, 0.500, 0.500) and O at (0.000, 0.000, 0.500).

For the energy relative to the elements, uncorrected, the calculation gives 0.4741 eV/atom. As for the total magnetization: 0.0 μB/f.u. Its final energy is -22.2 eV/cell.


Record 3
The following is a DFT calculation (PBE) of a relaxed Ga2BO crystal.

The space group is I-42d (No. 122) and the conventional cell measures 4.833, 4.833 and 9.485 Å, with angles of 90.00, 90.00 and 90.00 degrees. Symmetry generates all atoms from Ga at (0.246, 0.250, 0.125), B at (0.000, 0.000, 0.500) and O at (0.000, 0.000, 0.000).

For the energy above the most stable polymorph in this dataset, the calculation gives 0.000 eV/atom. For the energy relative to the elements, uncorrected, the calculation gives -0.3504 eV/atom. As for the total magnetization: 0.0 μB/f.u. Its final energy is -76.4 eV/cell.


Record 4
The following is a DFT calculation (PBE) of a relaxed Ga3BO crystal.

The space group is Pm-3m (No. 221) and the conventional cell measures 4.243, 4.243 and 4.243 Å, with angles of 90.00, 90.00 and 90.00 degrees. Symmetry generates all atoms from Ga at (0.000, 0.000, 0.500), B at (0.000, 0.000, 0.000) and O at (0.500, 0.500, 0.500).

For the energy above the most stable polymorph in this dataset, the calculation gives 0.000 eV/atom. For the energy relative to the elements, uncorrected, the calculation gives 0.3259 eV/atom. As for the total magnetization: 0.0 μB/f.u. Its final energy is -19.1 eV/cell.